{"formula": "Ce6GeP3S2", "functional": "PBE-GGA", "state": "optimized geometry", "space_group": "No. 12", "e_form_raw_ev_per_fu": -18.69, "dos_at_fermi_per_ev_cell": 25.62, "volume_a3_per_cell": 292, "e_tot_ev_per_cell": -83.4, "cell": [[8.934, -2.050, 0.000], [8.934, 2.050, 0.000], [-1.890, 0.000, 7.978]], "species": ["Ce", "Ce", "Ce", "Ce", "Ce", "Ce", "Ge", "P", "P", "P", "S", "S"], "frac_coords": [[0.000, 0.000, 0.243], [0.000, 0.000, 0.757], [0.331, 0.331, 0.417], [0.334, 0.334, 0.916], [0.666, 0.666, 0.084], [0.669, 0.669, 0.583], [0.500, 0.500, 0.500], [0.166, 0.166, 0.332], [0.500, 0.500, 0.000], [0.834, 0.834, 0.668], [0.167, 0.167, 0.834], [0.833, 0.833, 0.166]]}